DFT (GGA+U) results for a relaxed Rb2FeCuO4 crystal.

**Calculated volume**: 20.62 Å³/atom
**Raw total energy**: -5.01 eV/atom

a b c (Å): 5.3697 12.8840 19.0788
angles (deg): 90.00 90.00 90.00
Last column: nearest neighbours and their distance in Å.
Space group Fddd (No. 70, origin choice 2)
Inequivalent atoms, fractional coordinates:
Rb  0.1250  0.1250  0.3015 [16 per cell]  2 O 2.82
Fe  0.1250  0.1250  0.6250 [8 per cell]  4 O 1.92
Cu  0.1250  0.1250  0.1250 [8 per cell]  4 O 1.88
O  0.1198  0.2811  0.4050 [32 per cell]  1 Cu 1.88, 1 Fe 1.92